[1]
Material: MnIrPt6
Method: DFT, PBE
State: optimized geometry

Structure (POSCAR):
```
MnIrPt6
1.0
4.414 -1.972 0.000
4.414 1.972 0.000
-3.498 0.000 7.020
Mn Ir Pt
1 1 6
direct
0.000 0.000 0.000
0.000 0.000 0.500
0.248 0.248 0.373
0.249 0.249 0.875
0.500 0.500 0.247
0.500 0.500 0.753
0.751 0.751 0.125
0.752 0.752 0.627
```

Properties
- symmetry = C2/m (12)
- energy relative to the elements (eV per atom) = -0.12
- DFT total energy (eV per formula unit) = -55.27
- magnetic moment (μB per cell) = 3.16

[2]
Material: TbCeNd2Sm
Method: DFT, PBE
State: optimized geometry

Structure (POSCAR):
```
TbCeNd2Sm
1.0
6.043 0.000 0.000
0.000 7.609 0.000
0.000 0.000 7.349
Tb Ce Nd Sm
2 2 4 2
direct
0.250 0.000 0.114
0.750 0.000 0.886
0.000 0.000 0.500
0.500 0.000 0.500
0.250 0.288 0.816
0.250 0.712 0.816
0.750 0.288 0.184
0.750 0.712 0.184
0.250 0.500 0.346
0.750 0.500 0.654
```

Properties
- symmetry = Pmma (51)
- energy relative to the elements (eV per atom) = 0.27
- DFT total energy (eV per formula unit) = -23.47
- magnetic moment (μB per cell) = 2.83

[3]
Material: Ac3La4Ge4
Method: DFT, PBE
State: optimized geometry

Structure (POSCAR):
```
Ac3La4Ge4
1.0
-2.117 4.530 9.061
2.117 -4.530 9.061
2.117 4.530 -9.061
Ac La Ge
3 4 4
direct
0.000 0.000 0.000
0.404 0.904 0.500
0.596 0.096 0.500
0.003 0.328 0.675
0.347 0.672 0.675
0.653 0.328 0.325
0.997 0.672 0.325
0.268 0.268 0.000
0.278 0.500 0.778
0.722 0.500 0.222
0.732 0.732 0.000
```

Properties
- symmetry = Immm (71)
- energy relative to the elements (eV per atom) = -0.61
- DFT total energy (eV per formula unit) = -57.26
- magnetic moment (μB per cell) = 0.00

[4]
Material: Th6BiAu2
Method: DFT, PBE
State: optimized geometry

Structure (POSCAR):
```
Th6BiAu2
1.0
5.883 -2.888 0.000
5.883 2.888 0.000
-5.592 0.000 7.859
Th Bi Au
6 1 2
direct
0.075 0.075 0.391
0.306 0.306 0.941
0.336 0.336 0.315
0.664 0.664 0.685
0.694 0.694 0.059
0.925 0.925 0.609
0.000 0.000 0.000
0.388 0.388 0.689
0.612 0.612 0.311
```

Properties
- symmetry = C2/m (12)
- energy relative to the elements (eV per atom) = -0.27
- DFT total energy (eV per formula unit) = -57.38
- magnetic moment (μB per cell) = 0.00

[5]
Material: HoZrNp2S4
Method: DFT, PBE
State: optimized geometry

Structure (POSCAR):
```
HoZrNp2S4
1.0
6.568 0.000 0.000
0.000 3.872 0.000
-2.279 0.000 6.301
Ho Zr Np S
1 1 2 4
direct
0.000 0.000 0.000
0.000 0.500 0.500
0.500 0.000 0.500
0.500 0.500 0.000
0.244 0.000 0.744
0.246 0.500 0.253
0.754 0.500 0.747
0.756 0.000 0.256
```

Properties
- symmetry = P2/m (10)
- formation energy (no corrections) (eV per atom) = -1.56
- DFT total energy (eV per formula unit) = -67.97
- magnetic moment (μB per cell) = 8.21

[6]
Material: LiNiPtAu
Method: DFT, PBE
State: optimized geometry

Structure (POSCAR):
```
LiNiPtAu
1.0
0.000 3.033 3.033
3.033 0.000 3.033
3.033 3.033 0.000
Li Ni Pt Au
1 1 1 1
direct
0.000 0.000 0.000
0.500 0.500 0.500
0.750 0.750 0.750
0.250 0.250 0.250
```

Properties
- symmetry = F-43m (216)
- energy relative to the elements (eV per atom) = -0.22
- DFT total energy (eV per formula unit) = -17.89
- magnetic moment (μB per cell) = 0.45

[7]
Material: Dy2Er4Mg
Method: DFT, PBE
State: optimized geometry

Structure (POSCAR):
```
Dy2Er4Mg
1.0
5.961 0.000 0.000
0.000 6.471 0.000
-2.970 0.000 10.948
Dy Er Mg
4 8 2
direct
0.106 0.250 0.004
0.220 0.250 0.577
0.780 0.750 0.423
0.894 0.750 0.996
0.144 0.502 0.287
0.144 0.998 0.287
0.353 0.750 0.560
0.473 0.750 0.126
0.527 0.250 0.874
0.647 0.250 0.440
0.856 0.002 0.713
0.856 0.498 0.713
0.344 0.750 0.834
0.656 0.250 0.166
```

Properties
- symmetry = P2_1/m (11)
- polymorph energy (0 for the lowest one) (meV per atom) = 0
- energy relative to the elements (eV per atom) = 0.11
- DFT total energy (eV per formula unit) = -28.29
- magnetic moment (μB per cell) = 0.00

[8]
Material: TlCo2P
Method: DFT, PBE
State: optimized geometry

Structure (POSCAR):
```
TlCo2P
1.0
-1.647 2.635 3.541
1.647 -2.635 3.541
1.647 2.635 -3.541
Tl Co P
1 2 1
direct
0.000 0.000 0.000
0.313 0.813 0.500
0.687 0.187 0.500
0.500 0.500 0.000
```

Properties
- symmetry = Immm (71)
- energy relative to the elements (eV per atom) = 0.21
- DFT total energy (eV per formula unit) = -21.16
- magnetic moment (μB per cell) = 0.00

[9]
Material: PaZn2InO8
Method: DFT, PBE
State: optimized geometry

Structure (POSCAR):
```
PaZn2InO8
1.0
-3.412 3.412 3.532
3.412 -3.412 3.532
3.412 3.412 -3.532
Pa Zn In O
1 2 1 8
direct
0.000 0.000 0.000
0.500 0.500 0.000
0.750 0.250 0.500
0.250 0.750 0.500
0.295 0.108 0.813
0.295 0.482 0.187
0.360 0.055 0.305
0.518 0.705 0.813
0.750 0.055 0.695
0.892 0.705 0.187
0.945 0.250 0.305
0.945 0.640 0.695
```

Properties
- symmetry = I-4m2 (119)
- formation energy (no corrections) (eV per atom) = -1.41
- DFT total energy (eV per formula unit) = -71.40
- magnetic moment (μB per cell) = 3.57

[10]
Material: Pm2Hg3Pd2
Method: DFT, PBE
State: optimized geometry

Structure (POSCAR):
```
Pm2Hg3Pd2
1.0
5.006 -2.256 0.000
5.006 2.256 0.000
-2.456 0.000 7.114
Pm Hg Pd
2 3 2
direct
0.139 0.139 0.276
0.861 0.861 0.724
0.372 0.372 0.059
0.500 0.500 0.500
0.628 0.628 0.941
0.155 0.155 0.692
0.845 0.845 0.308
```

Properties
- symmetry = C2/m (12)
- polymorph energy (0 for the lowest one) (meV per atom) = 0
- energy relative to the elements (eV per atom) = -0.58
- DFT total energy (eV per formula unit) = -24.87
- magnetic moment (μB per cell) = 0.00

[11]
Material: Pm2PrY2Ho
Method: DFT, PBE
State: optimized geometry

Structure (POSCAR):
```
Pm2PrY2Ho
1.0
6.646 0.000 0.000
0.000 17.883 0.000
0.000 0.000 3.433
Pm Pr Y Ho
4 2 4 2
direct
0.223 0.149 0.000
0.277 0.649 0.500
0.723 0.351 0.500
0.777 0.851 0.000
0.000 0.500 0.500
0.500 0.000 0.000
0.227 0.318 0.500
0.273 0.818 0.000
0.727 0.182 0.000
0.773 0.682 0.500
0.000 0.000 0.500
0.500 0.500 0.000
```

Properties
- symmetry = Pnnm (58)
- energy relative to the elements (eV per atom) = 0.25
- DFT total energy (eV per formula unit) = -30.27
- magnetic moment (μB per cell) = 0.00

[12]
Material: SmY2Ga2Cu2
Method: DFT, PBE
State: optimized geometry

Structure (POSCAR):
```
SmY2Ga2Cu2
1.0
2.198 1.269 9.329
-2.198 1.269 9.329
0.000 -2.538 9.329
Sm Y Ga Cu
1 2 2 2
direct
0.000 0.000 0.000
0.124 0.124 0.124
0.876 0.876 0.876
0.262 0.262 0.262
0.738 0.738 0.738
0.400 0.400 0.400
0.600 0.600 0.600
```

Properties
- symmetry = R-3m (166)
- energy relative to the elements (eV per atom) = -0.40
- DFT total energy (eV per formula unit) = -34.70
- magnetic moment (μB per cell) = 0.00